Entry from the Alexandria database: a relaxed structure of CaEuHfWO6 (PBE+U).

Results
total energy	-86.7	eV/f.u.

abc: 5.7944 5.7944 5.7944
angles: 60.00 60.00 60.00
Sites, in units of the cell vectors:
Ca (0.0000, 0.0000, 0.0000)
Eu (0.5000, 0.5000, 0.5000)
Hf (0.2500, 0.2500, 0.2500)
W (0.7500, 0.7500, 0.7500)
O (0.9999, 0.9999, 0.5001)
O (0.9999, 0.5001, 0.9999)
O (0.9999, 0.5001, 0.5001)
O (0.5001, 0.9999, 0.9999)
O (0.5001, 0.9999, 0.5001)
O (0.5001, 0.5001, 0.9999)